No. 1
Compound: BaOsPt2
Source: the Alexandria database
Functional: GGA-PBEsol
Structure: relaxed

a = 4.802 Å, b = 4.802 Å, c = 4.802 Å
α = 60.00°, β = 60.00°, γ = 60.00°
Last column: magnetic moment on the atom in μB.
Positions (direct):
Ba (0.000, 0.000, 0.000)  0.01
Pt (0.750, 0.750, 0.750)  0.19
Pt (0.250, 0.250, 0.250)  0.19
Os (0.500, 0.500, 0.500)  1.32

Summary:
Energy relative to the lowest polymorph listed for this composition ... 211.2 kJ/mol of formula units
Formation enthalpy at 0 K ... 0.838 eV per atom
Space group ... Fm-3m, No. 225
Total moment ... 1.8 μB per formula unit

No. 2
Compound: BaOsPt3
Source: the Alexandria database
Functional: GGA-PBEsol
Structure: relaxed

a = 4.888 Å, b = 4.888 Å, c = 4.888 Å
α = 90.00°, β = 90.00°, γ = 90.00°
Positions (direct):
Os (0.000, 0.000, 0.000)
Ba (0.500, 0.500, 0.500)
Pt (0.000, 0.500, 0.000)
Pt (0.000, 0.000, 0.500)
Pt (0.500, 0.000, 0.000)

Summary:
Formation enthalpy at 0 K ... 0.409 eV per atom
Space group ... Pm-3m, No. 221
Total moment ... 0.0 μB per formula unit

No. 3
Compound: BaOs2Pt
Source: the Alexandria database
Functional: GGA-PBEsol
Structure: relaxed

a = 3.597 Å, b = 5.561 Å, c = 5.595 Å
α = 119.80°, β = 108.75°, γ = 90.00°
Positions (direct):
Ba (0.245, 0.745, 0.490)
Os (0.740, 0.240, 0.479)
Os (0.073, 0.073, 0.145)
Pt (0.443, 0.443, 0.885)

Summary:
Energy relative to the lowest polymorph listed for this composition ... 0.0 kJ/mol of formula units
Formation enthalpy at 0 K ... 0.986 eV per atom
Space group ... Imm2, No. 44
Total moment ... 0.0 μB per formula unit

No. 4
Compound: BaOsPt2
Source: the Alexandria database
Functional: GGA-PBEsol
Structure: relaxed

a = 2.889 Å, b = 3.802 Å, c = 7.333 Å
α = 90.00°, β = 90.00°, γ = 90.00°
Positions (direct):
Os (0.500, 0.500, 0.836)
Ba (0.000, 0.000, 0.496)
Pt (0.500, 0.500, 0.192)
Pt (0.000, 0.000, 0.976)

Summary:
Energy relative to the lowest polymorph listed for this composition ... 32.1 kJ/mol of formula units
Formation enthalpy at 0 K ... 0.374 eV per atom
Space group ... Pmm2, No. 25
Total moment ... 0.0 μB per formula unit